A geometry-optimized Cs3Ce2ErTe6 structure, computed with PBE-GGA.

The structure belongs to space group C2/m (No. 12); the cell edges are 8.065, 13.969 and 9.316 Å and the angles 90.00°, 106.78° and 90.00°. The distinct sites, in fractional coordinates, are Cs at (0.000, 0.000, 0.000), Cs at (0.000, 0.331, 0.000), Ce at (0.000, 0.166, 0.500), Er at (0.000, 0.500, 0.500), Te at (0.225, 0.338, 0.692) and Te at (0.241, 0.000, 0.692).

The total energy comes out at -0.16530 Ha/atom. For the uncorrected formation energy, the calculation gives -1344.6 meV/atom.

A geometry-optimized NdPuCuHg structure, computed with PBE-GGA.

The structure belongs to space group F-43m (No. 216); the cell edges are 7.398, 7.398 and 7.398 Å and the angles 90.00°, 90.00° and 90.00°. The distinct sites, in fractional coordinates, are Nd at (0.000, 0.000, 0.000), Pu at (0.000, 0.000, 0.500), Cu at (0.250, 0.250, 0.250) and Hg at (0.250, 0.250, 0.750).

The total energy comes out at -0.21842 Ha/atom. Its energy relative to the elements is -69.0 meV/atom.

A geometry-optimized AcPm2GeO8 structure, computed with PBE-GGA.

The structure belongs to space group P-3m1 (No. 164); the cell edges are 5.1852, 5.1852 and 7.0445 Å and the angles 90.00°, 90.00° and 120.00°. The distinct sites, in fractional coordinates, are Ac at (0.0000, 0.0000, 0.0000), Pm at (0.3333, 0.6667, 0.3611), Ge at (0.0000, 0.0000, 0.5000), O at (0.1656, 0.3312, 0.6627) and O at (0.3333, 0.6667, 0.0537).

The total energy comes out at -0.25667 Ha/atom. For the uncorrected formation energy, the calculation gives -2160.0 meV/atom.

A geometry-optimized Ti2CuPt2 structure, computed with PBE-GGA.

The structure belongs to space group P4/mbm (No. 127); the cell edges are 7.302, 7.302 and 3.047 Å and the angles 90.00°, 90.00° and 90.00°. The distinct sites, in fractional coordinates, are Ti at (0.165, 0.335, 0.000), Cu at (0.000, 0.000, 0.500) and Pt at (0.136, 0.636, 0.500).

The total energy comes out at -0.25799 Ha/atom. Its energy relative to the elements is -626.7 meV/atom. The value obtained for the relative energy among the computed polymorphs is 0 meV/atom.

A geometry-optimized Cu2AgHg structure, computed with PBE-GGA.

The structure belongs to space group F-43m (No. 216); the cell edges are 6.380, 6.380 and 6.380 Å and the angles 90.00°, 90.00° and 90.00°. The distinct sites, in fractional coordinates, are Cu at (0.000, 0.000, 0.000), Cu at (0.250, 0.250, 0.250), Ag at (0.000, 0.000, 0.500) and Hg at (0.250, 0.250, 0.750).

The total energy comes out at -0.09678 Ha/atom. Its energy relative to the elements is 202.7 meV/atom.

A geometry-optimized RbLiOsCl6 structure, computed with PBE-GGA.

The structure belongs to space group P312 (No. 149); the cell edges are 6.4798, 6.4798 and 7.3518 Å and the angles 90.00°, 90.00° and 120.00°. The distinct sites, in fractional coordinates, are Rb at (0.0000, 0.0000, 0.0000), Li at (0.3333, 0.6667, 0.5000), Os at (0.6667, 0.3333, 0.5000) and Cl at (0.3803, 0.0269, 0.6843).

The total energy comes out at -0.14235 Ha/atom. For the uncorrected formation energy, the calculation gives -1074.5 meV/atom.

A geometry-optimized Li2CaCd3 structure, computed with PBE-GGA.

The structure belongs to space group P4/mmm (No. 123); the cell edges are 3.498, 3.498 and 10.700 Å and the angles 90.00°, 90.00° and 90.00°. The distinct sites, in fractional coordinates, are Li at (0.000, 0.000, 0.149), Ca at (0.000, 0.000, 0.500), Cd at (0.500, 0.500, 0.000) and Cd at (0.500, 0.500, 0.291).

The total energy comes out at -0.06260 Ha/atom. Its energy relative to the elements is -274.3 meV/atom. The value obtained for the relative energy among the computed polymorphs is 0 meV/atom.

A geometry-optimized Ru2W structure, computed with PBE-GGA.

The structure belongs to space group Cmcm (No. 63); the cell edges are 2.787, 14.277 and 4.419 Å and the angles 90.00°, 90.00° and 90.00°. The distinct sites, in fractional coordinates, are Ru at (0.000, 0.060, 0.250), Ru at (0.000, 0.276, 0.750) and W at (0.000, 0.391, 0.250).

The total energy comes out at -0.38566 Ha/atom. Its energy relative to the elements is 7.2 meV/atom.

A geometry-optimized K3GaBi3 structure, computed with PBE-GGA.

The structure belongs to space group C2/m (No. 12); the cell edges are 13.016, 5.504 and 16.186 Å and the angles 90.00°, 111.97° and 90.00°. The distinct sites, in fractional coordinates, are K at (0.021, 0.000, 0.379), K at (0.091, 0.000, 0.916), K at (0.240, 0.000, 0.227), Ga at (0.247, 0.500, 0.408), Bi at (0.050, 0.500, 0.241), Bi at (0.114, 0.500, 0.075) and Bi at (0.143, 0.500, 0.540).

The total energy comes out at -0.10508 Ha/atom. Its energy relative to the elements is -293.4 meV/atom. The value obtained for the relative energy among the computed polymorphs is 0 meV/atom.

A geometry-optimized VRuW structure, computed with PBE-GGA.

The structure belongs to space group P3m1 (No. 156); the cell edges are 4.2976, 4.2976 and 2.7328 Å and the angles 90.00°, 90.00° and 120.00°. The distinct sites, in fractional coordinates, are V at (0.0000, 0.0000, 0.0000), Ru at (0.3333, 0.6667, 0.6673) and W at (0.6667, 0.3333, 0.3036).

The total energy comes out at -0.38385 Ha/atom. Its energy relative to the elements is 4.1 meV/atom. The value obtained for the relative energy among the computed polymorphs is 101 meV/atom.

A geometry-optimized La3Nd2Ni2 structure, computed with PBE-GGA.

The structure belongs to space group P-1 (No. 2); the cell edges are 3.840, 6.419 and 9.070 Å and the angles 102.31°, 102.21° and 107.29°. The distinct sites, in fractional coordinates, are La at (0.000, 0.000, 0.000), La at (0.310, 0.194, 0.427), Nd at (0.139, 0.467, 0.808) and Ni at (0.439, 0.095, 0.783).

The total energy comes out at -0.19515 Ha/atom. Its energy relative to the elements is -184.5 meV/atom.

A geometry-optimized AcZnSi3 structure, computed with PBE-GGA.

The structure belongs to space group Cmcm (No. 63); the cell edges are 4.507, 22.133 and 4.228 Å and the angles 90.00°, 90.00° and 90.00°. The distinct sites, in fractional coordinates, are Ac at (0.000, 0.081, 0.250), Zn at (0.000, 0.199, 0.750), Si at (0.000, 0.308, 0.750), Si at (0.000, 0.362, 0.250) and Si at (0.000, 0.472, 0.250).

The total energy comes out at -0.16638 Ha/atom. For the uncorrected formation energy, the calculation gives -197.1 meV/atom.

What did the ninth record say?
A geometry-optimized K3GaBi3 structure, computed with PBE-GGA.

The structure belongs to space group C2/m (No. 12); the cell edges are 13.016, 5.504 and 16.186 Å and the angles 90.00°, 111.97° and 90.00°. The distinct sites, in fractional coordinates, are K at (0.021, 0.000, 0.379), K at (0.091, 0.000, 0.916), K at (0.240, 0.000, 0.227), Ga at (0.247, 0.500, 0.408), Bi at (0.050, 0.500, 0.241), Bi at (0.114, 0.500, 0.075) and Bi at (0.143, 0.500, 0.540).

The total energy comes out at -0.10508 Ha/atom. Its energy relative to the elements is -293.4 meV/atom. The value obtained for the relative energy among the computed polymorphs is 0 meV/atom.